## NpCrO5 (GGA+U)

Data for NpCrO5 after structural relaxation.

The structure belongs to space group C2/c (No. 15); the cell edges are 5.6157, 10.7336 and 7.1163 Å and the angles 90.00°, 98.88° and 90.00°. Symmetry generates all atoms from Np at (0.0000, 0.0000, 0.0000), Cr at (0.0000, 0.4526, 0.2500), O at (0.0000, 0.0981, 0.2500), O at (0.1673, 0.4274, 0.9895) and O at (0.2031, 0.1303, 0.6437).

For the final energy, the calculation gives -8.4263 eV/atom.